[1]
DFT (GGA-PBE) results for crystalline Pt2Pb2I at its relaxed geometry.

Summary:
space-group type: No. 139
relative energy among the computed polymorphs: 0 meV per atom

Geometry as POSCAR:
```
Pt2Pb2I
1.0
-1.897 -3.354 -0.894
3.418 -1.983 0.189
-0.588 -4.181 8.177
Pt Pb I
2 2 1
direct
0.250 0.750 0.500
0.750 0.250 0.500
0.369 0.369 0.261
0.631 0.631 0.739
0.000 0.000 0.000
```

[2]
DFT (GGA-PBE) results for crystalline PtPbI3 at its relaxed geometry.

Summary:
space-group type: No. 221
relative energy among the computed polymorphs: 775 meV per atom

Geometry as POSCAR:
```
PtPbI3
1.0
6.157 0.000 0.000
0.000 6.157 0.000
0.000 0.000 6.157
Pb I Pt
1 3 1
direct
0.000 0.000 0.000
0.000 0.500 0.000
0.000 0.000 0.500
0.500 0.000 0.000
0.500 0.500 0.500
```

[3]
DFT (GGA-PBE) results for crystalline PtPb4I2 at its relaxed geometry.

Summary:
space-group type: No. 139

Geometry as POSCAR:
```
PtPb4I2
1.0
-0.091 2.823 4.426
-4.810 -1.820 1.062
1.579 -7.222 7.753
Pb I Pt
4 2 1
direct
0.856 0.856 0.289
0.500 0.000 0.000
0.000 0.500 0.000
0.144 0.144 0.711
0.342 0.342 0.317
0.658 0.658 0.683
0.000 0.000 0.000
```

[4]
DFT (GGA-PBE) results for crystalline Rb2PtPbI6 at its relaxed geometry.

Summary:
space-group type: No. 139

Geometry as POSCAR:
```
Rb2PtPbI6
1.0
-5.836 5.955 1.239
0.570 -1.174 8.328
1.667 6.544 5.075
I Pb Rb Pt
6 1 2 1
direct
0.734 0.266 0.000
0.264 0.264 0.471
0.266 0.266 0.000
0.736 0.736 0.529
0.734 0.734 0.000
0.266 0.734 0.000
0.000 0.000 0.000
0.750 0.250 0.500
0.250 0.750 0.500
0.500 0.500 0.000
```

[5]
DFT (GGA-PBE) results for crystalline PtRhPbI2 at its relaxed geometry.

Summary:
space-group type: No. 123

Geometry as POSCAR:
```
PtRhPbI2
1.0
5.352 0.000 0.000
0.000 5.014 0.000
0.000 0.000 5.352
Pt I Pb Rh
1 2 1 1
direct
0.000 0.500 0.000
0.500 0.000 0.000
0.000 0.000 0.500
0.500 0.500 0.500
0.000 0.000 0.000
```

[6]
DFT (GGA-PBE) results for crystalline Sb2PtPbI at its relaxed geometry.

Summary:
space-group type: No. 123
relative energy among the computed polymorphs: 0 meV per atom

Geometry as POSCAR:
```
Sb2PtPbI
1.0
5.281 0.000 0.000
0.000 5.281 0.000
0.000 0.000 5.642
I Pb Pt Sb
1 1 1 2
direct
0.000 0.000 0.500
0.500 0.500 0.500
0.000 0.000 0.000
0.500 0.000 0.000
0.000 0.500 0.000
```

[7]
DFT (GGA-PBE) results for crystalline Sb2PtPbI at its relaxed geometry.

Summary:
space-group type: No. 123
relative energy among the computed polymorphs: 1067 meV per atom

Geometry as POSCAR:
```
Sb2PtPbI
1.0
-2.328 0.320 -5.308
-5.281 -0.815 2.267
-0.620 5.737 0.617
Sb Pt Pb I
2 1 1 1
direct
0.000 0.500 0.000
0.500 0.000 0.000
0.500 0.500 0.500
0.000 0.000 0.000
0.000 0.000 0.500
```

[8]
DFT (GGA-PBE) results for crystalline ScPt2PbI at its relaxed geometry.

Summary:
space-group type: No. 123

Geometry as POSCAR:
```
ScPt2PbI
1.0
-1.667 -0.584 4.700
3.633 -4.040 0.787
3.375 3.350 1.613
Pb Pt I Sc
1 2 1 1
direct
0.500 0.500 0.500
0.500 0.000 0.000
0.000 0.000 0.500
0.000 0.500 0.000
0.000 0.000 0.000
```

[9]
DFT (GGA-PBE) results for crystalline Pt2PbSeI at its relaxed geometry.

Summary:
space-group type: No. 123

Geometry as POSCAR:
```
Pt2PbSeI
1.0
4.932 0.000 0.000
0.000 6.425 0.000
0.000 0.000 4.932
I Pt Pb Se
1 2 1 1
direct
0.000 0.000 0.000
0.000 0.000 0.500
0.500 0.000 0.000
0.000 0.500 0.000
0.500 0.500 0.500
```

[10]
DFT (GGA-PBE) results for crystalline TePt2PbI at its relaxed geometry.

Summary:
space-group type: No. 123

Geometry as POSCAR:
```
TePt2PbI
1.0
-1.755 0.403 -4.806
-2.408 -5.624 0.408
-4.382 2.004 1.768
I Pb Pt Te
1 1 2 1
direct
0.500 0.500 0.500
0.000 0.000 0.000
0.500 0.000 0.000
0.000 0.000 0.500
0.000 0.500 0.000
```

[11]
DFT (GGA-PBE) results for crystalline Te2PtPbI at its relaxed geometry.

Summary:
space-group type: No. 123
relative energy among the computed polymorphs: 0 meV per atom

Geometry as POSCAR:
```
Te2PtPbI
1.0
-4.765 -2.062 1.325
-1.143 -0.695 -5.189
2.238 -5.054 0.184
Pt Pb I Te
1 1 1 2
direct
0.000 0.000 0.000
0.500 0.500 0.500
0.000 0.000 0.500
0.000 0.500 0.000
0.500 0.000 0.000
```

[12]
DFT (GGA-PBE) results for crystalline Te2PtPbI at its relaxed geometry.

Summary:
space-group type: No. 123
relative energy among the computed polymorphs: 1072 meV per atom

Geometry as POSCAR:
```
Te2PtPbI
1.0
5.871 0.000 0.000
0.000 5.871 0.000
0.000 0.000 5.931
Pt Te Pb I
1 2 1 1
direct
0.500 0.500 0.500
0.500 0.000 0.000
0.000 0.500 0.000
0.000 0.000 0.000
0.000 0.000 0.500
```

Short version: uncorrected energy = -4.4364; -2.1359; -3.4717; -2.8223; -3.6530; -3.6591; -2.5917; -4.6307; -3.3074; -3.0608; -3.4579; -2.3855 eV per atom, in the order given.
Short version: Fermi-level density of states = 0.30; 6.10; 0.75; 0.46; 0.64; 1.12; 1.10; 0.28; 0.58; 1.59; 0.71; 1.78 states/eV/atom, in the order given.
Short version: formation energy without anion corrections = -0.227; 0.744; -0.047; -0.724; 0.387; 0.250; 1.317; 0.104; 0.857; 1.036; 0.059; 1.131 eV/atom, in the order given.